Record 1
Computed, not measured: crystalline PAuBr at its relaxed geometry at the PBE-GGA level of DFT.

```
PAuBr
1.0
3.765 0.000 0.000
-1.883 3.261 0.000
0.000 0.000 5.298
Au Br P
1 1 1
direct
0.000 0.000 0.951
0.667 0.333 0.322
0.333 0.667 0.727
```

Properties
* formation energy without anion corrections: 0.235 eV per atom
* energy above the lowest structure with this stoichiometry: 191 meV/atom
* SG: P3m1


Record 2
Computed, not measured: crystalline PAu3Br at its relaxed geometry at the PBE-GGA level of DFT.

```
PAu3Br
1.0
4.830 0.000 0.000
0.000 4.830 0.000
0.000 0.000 4.830
Au P Br
3 1 1
direct
0.500 0.000 0.000
0.000 0.500 0.000
0.000 0.000 0.500
0.000 0.000 0.000
0.500 0.500 0.500
```

Properties
* formation energy without anion corrections: 0.273 eV per atom
* energy above the lowest structure with this stoichiometry: 0 meV/atom
* SG: Pm-3m


Record 3
Computed, not measured: crystalline PAuBr at its relaxed geometry at the PBE-GGA level of DFT.

```
PAuBr
1.0
7.982 0.050 -0.029
6.497 3.589 -0.059
1.486 -1.789 3.053
Br P Au
1 1 1
direct
0.374 0.374 0.626
0.618 0.618 0.382
0.008 0.008 0.992
```

Properties
* formation energy without anion corrections: 0.299 eV per atom
* energy above the lowest structure with this stoichiometry: 255 meV/atom
* SG: Fmm2